A plane-wave DFT calculation with PBE was carried out for an optimized crystal structure of FeWAu2.

The magnetic moment is 1.4 μB/f.u. The value obtained for the calculated total energy is -6.5894 eV/atom. Its symmetry is Imm2 (44).

Lattice parameters (Å, degrees): 5.3628 5.3628 5.3628 147.38 128.50 62.30
Fractional coordinates of all 4 atoms:
Fe 0.0000 0.0000 0.0000
W 0.8019 0.3019 0.5000
Au 0.2445 0.7445 0.5000
Au 0.5258 0.5258 0.0000